An optimized crystal structure of NbV4W3. Source: Alexandria via LeMat-Bulk, functional PBE.

Computed properties:
SG: Pmmm

Unit cell a=3.106 b=4.383 c=8.793 alpha=90.00 beta=90.00 gamma=90.00
Fractional coordinates of all 8 atoms:
Nb  0.000  0.000  0.000
V  0.500  0.000  0.257
V  0.500  0.000  0.743
V  0.500  0.500  0.000
V  0.500  0.500  0.500
W  0.000  0.000  0.500
W  0.000  0.500  0.252
W  0.000  0.500  0.748

***

An optimized crystal structure of Nb2V5W. Source: Alexandria via LeMat-Bulk, functional PBE.

Computed properties:
SG: Pbam

Unit cell a=5.242 b=10.350 c=4.461 alpha=90.00 beta=90.00 gamma=90.00
Fractional coordinates of all 16 atoms:
Nb  0.157  0.132  0.000
Nb  0.343  0.632  0.000
Nb  0.657  0.368  0.000
Nb  0.843  0.868  0.000
V  0.000  0.000  0.500
V  0.151  0.753  0.500
V  0.158  0.388  0.000
V  0.342  0.888  0.000
V  0.349  0.253  0.500
V  0.500  0.500  0.500
V  0.651  0.747  0.500
V  0.658  0.112  0.000
V  0.842  0.612  0.000
V  0.849  0.247  0.500
W  0.000  0.500  0.500
W  0.500  0.000  0.500

***

Table of M_tot (μB/cell), in record order: 0.0 0.0
Table of E (eV/atom), in record order: -10.72 -9.78
Table of calculated formation energy (eV/atom), in record order: -0.0448 0.0580